[1]
The following is a DFT calculation (meta-GGA SCAN) of a PBEsol-optimized structure of BeCd2Tc.

Properties
space group	Immm (71)
VASP energy	-24.66	eV per atom

extended XYZ file:
```
4
Lattice="2.8433 0.0000 0.0000 0.0000 4.4740 0.0000 -1.4216 -2.2370 4.6961" Properties=species:S:1:pos:R:3 pbc="T T T"
Be 1.4216 0.0000 0.0000
Tc 0.0000 2.2370 0.0000
Cd 1.4216 2.2370 2.6614
Cd 0.0000 0.0000 2.0348
```

---

[2]
The following is a DFT calculation (meta-GGA SCAN) of a PBEsol-optimized structure of BeCd2Tc.

Properties
space group	P2/m (10)
VASP energy	-24.62	eV per atom

extended XYZ file:
```
4
Lattice="2.7648 0.0000 -0.0082 0.0000 4.3231 0.0000 -1.3692 0.0000 5.1333" Properties=species:S:1:pos:R:3 pbc="T T T"
Be 0.6978 2.1615 2.5626
Tc 1.3824 2.1615 -0.0041
Cd 1.4229 0.0000 3.7870
Cd -0.0273 0.0000 1.3381
```

---

[3]
The following is a DFT calculation (meta-GGA SCAN) of a PBEsol-optimized structure of BeCdTc2.

Properties
space group	Immm (71)
VASP energy	-25.96	eV per atom

extended XYZ file:
```
4
Lattice="-2.6929 0.0924 -0.4075 0.1523 -3.9029 -1.8913 0.5734 -0.1300 5.2931" Properties=species:S:1:pos:R:3 pbc="T T T"
Be -1.3464 0.0462 -0.2037
Tc -1.6736 -3.0831 1.2489
Tc -0.2935 -0.8573 1.7455
Cd 0.0761 -1.9514 -0.9456
```

---

[4]
The following is a DFT calculation (meta-GGA SCAN) of a PBEsol-optimized structure of BeTlCd2Tc.

Properties
space group	P4/mmm (123)
VASP energy	-33.12	eV per atom

extended XYZ file:
```
5
Lattice="4.3838 0.0000 0.0000 0.0000 5.2951 0.0000 0.0000 0.0000 5.2951" Properties=species:S:1:pos:R:3 pbc="T T T"
Be 2.1919 0.0000 0.0000
Tl 0.0000 0.0000 0.0000
Tc 2.1919 2.6476 2.6476
Cd 0.0000 0.0000 2.6476
Cd 0.0000 2.6476 0.0000
```

---

[5]
The following is a DFT calculation (meta-GGA SCAN) of a PBEsol-optimized structure of BeCdTe2.

Properties
space group	P4mm (99)
energy relative to the elements, uncorrected	-0.0770	eV/atom

extended XYZ file:
```
4
Lattice="-3.5146 1.2345 0.9108 -1.5162 -3.1419 -1.5925 0.4095 -3.1900 5.9038" Properties=species:S:1:pos:R:3 pbc="T T T"
Be 0.1753 -1.3658 2.5277
Te 0.3222 -2.5096 4.6447
Te -2.3726 -2.0668 1.7193
Cd -2.1321 -3.9401 5.1862
```

---

[6]
The following is a DFT calculation (meta-GGA SCAN) of a PBEsol-optimized structure of BeCd3Te.

Properties
space group	Pm-3m (221)
energy relative to the elements, uncorrected	1.0205	eV/atom

extended XYZ file:
```
5
Lattice="-2.8095 4.0813 -2.5468 -4.2079 -0.6554 3.5917 2.3316 3.7350 3.4132" Properties=species:S:1:pos:R:3 pbc="T T T"
Be -2.3429 3.5804 2.2290
Te 0.0000 0.0000 0.0000
Cd -2.1040 -0.3277 1.7958
Cd 1.1658 1.8675 1.7066
Cd -1.4048 2.0406 -1.2734
```

---

[7]
The following is a DFT calculation (meta-GGA SCAN) of a PBEsol-optimized structure of BeCdTe2.

Properties
space group	I-42d (122)
energy relative to the elements, uncorrected	-0.4441	eV/atom

extended XYZ file:
```
8
Lattice="-3.1504 5.2140 0.2824 -3.4968 -2.3516 4.4082 7.0572 0.6055 1.7029" Properties=species:S:1:pos:R:3 pbc="T T T"
Be 0.2916 3.6253 2.1653
Be -3.3236 1.4312 2.3453
Te -2.6363 0.3128 4.4031
Te -2.1441 3.5678 2.3116
Te 4.2850 0.6929 2.0866
Te 1.3154 2.3621 3.9857
Cd 0.1184 -0.1575 4.2282
Cd 0.0000 0.0000 0.0000
```

---

[8]
The following is a DFT calculation (meta-GGA SCAN) of a PBEsol-optimized structure of BeCd3Te.

Properties
space group	Pm-3m (221)
energy relative to the elements, uncorrected	0.2989	eV/atom

extended XYZ file:
```
5
Lattice="-2.4490 0.6015 -4.0915 -4.0983 0.2832 2.4947 0.5533 4.7600 0.3686" Properties=species:S:1:pos:R:3 pbc="T T T"
Be 0.0000 0.0000 0.0000
Te -2.9970 2.8223 -0.6141
Cd -2.0491 0.1416 1.2474
Cd 0.2766 2.3800 0.1843
Cd -1.2245 0.3007 -2.0457
```

---

[9]
The following is a DFT calculation (meta-GGA SCAN) of a PBEsol-optimized structure of BeCdTe2.

Properties
space group	I-4m2 (119)
energy relative to the elements, uncorrected	0.3495	eV/atom

extended XYZ file:
```
4
Lattice="3.9312 0.0000 0.0000 0.0000 3.9312 0.0000 -1.9656 -1.9656 6.3765" Properties=species:S:1:pos:R:3 pbc="T T T"
Be 1.9656 1.9656 0.0000
Te 0.0000 0.0000 0.0000
Te 1.9656 0.0000 3.1883
Cd 0.0000 1.9656 3.1883
```

---

[10]
The following is a DFT calculation (meta-GGA SCAN) of a PBEsol-optimized structure of Ti2Be2Cd.

Properties
space group	P4/mbm (127)
VASP energy	-14.38	eV per atom

extended XYZ file:
```
10
Lattice="3.5120 0.0000 0.0000 0.0000 6.2319 0.0000 0.0000 0.0000 6.2319" Properties=species:S:1:pos:R:3 pbc="T T T"
Be 0.0000 2.3502 5.4662
Be 0.0000 5.4662 3.8817
Be 0.0000 3.8817 0.7657
Be 0.0000 0.7657 2.3502
Ti 1.7560 1.0240 4.1400
Ti 1.7560 4.1400 5.2079
Ti 1.7560 5.2079 2.0919
Ti 1.7560 2.0919 1.0240
Cd 0.0000 0.0000 0.0000
Cd 0.0000 3.1159 3.1159
```

---

[11]
The following is a DFT calculation (meta-GGA SCAN) of a PBEsol-optimized structure of BeTl2Cd.

Properties
space group	Cmmm (65)
VASP energy	-44.44	eV per atom

extended XYZ file:
```
4
Lattice="-2.9922 1.3298 0.3811 -0.6006 -3.2248 0.3271 1.2763 0.5751 8.0137" Properties=species:S:1:pos:R:3 pbc="T T T"
Be -1.1582 -0.6599 4.3609
Tl 0.3679 0.1658 2.3100
Tl 0.9084 0.4093 5.7037
Cd -1.7964 -0.9475 0.3541
```

---

[12]
The following is a DFT calculation (meta-GGA SCAN) of a PBEsol-optimized structure of BeTl2Cd.

Properties
space group	Pm (6)
VASP energy	-44.57	eV per atom

extended XYZ file:
```
4
Lattice="4.2735 0.0000 -0.0124 0.0000 3.1751 0.0000 -2.1119 0.0000 6.3337" Properties=species:S:1:pos:R:3 pbc="T T T"
Be 0.2805 0.0000 2.5773
Tl -1.8495 0.0000 6.2756
Tl 2.4146 1.5875 2.2880
Cd 0.2849 1.5875 4.6749
```

---

[13]
The following is a DFT calculation (meta-GGA SCAN) of a PBEsol-optimized structure of BeCd3W.

Properties
space group	Pm-3m (221)
VASP energy	-31.25	eV per atom

extended XYZ file:
```
5
Lattice="-0.8463 -4.6370 2.3488 2.1944 -2.4760 -4.0975 4.7121 0.3203 2.3300" Properties=species:S:1:pos:R:3 pbc="T T T"
Be 3.0301 -3.3964 0.2907
W 0.0000 0.0000 0.0000
Cd 1.0972 -1.2380 -2.0487
Cd 2.3560 0.1601 1.1650
Cd -0.4231 -2.3185 1.1744
```

---

[14]
The following is a DFT calculation (meta-GGA SCAN) of a PBEsol-optimized structure of BeCdW3.

Properties
space group	Pm-3m (221)
VASP energy	-45.20	eV per atom

extended XYZ file:
```
5
Lattice="-2.5517 3.5867 1.8374 -3.5178 -3.0435 1.0556 1.9661 -0.7903 4.2733" Properties=species:S:1:pos:R:3 pbc="T T T"
Be -2.0517 -0.1235 3.5832
W -1.7589 -1.5217 0.5278
W 0.9831 -0.3952 2.1367
W -1.2759 1.7934 0.9187
Cd 0.0000 0.0000 0.0000
```

---

[15]
The following is a DFT calculation (meta-GGA SCAN) of a PBEsol-optimized structure of BeCd4W.

Properties
space group	F-43m (216)
VASP energy	-31.60	eV per atom

extended XYZ file:
```
6
Lattice="-1.6826 -4.5845 2.3589 -1.3653 -4.2743 -3.0463 3.1646 -4.4038 -0.0670" Properties=species:S:1:pos:R:3 pbc="T T T"
Be 0.0000 0.0000 0.0000
Cd 0.0438 -4.9764 -0.2830
Cd 1.6234 -7.1744 -0.3165
Cd -0.7960 -7.2646 0.8944
Cd -0.6376 -7.1097 -1.8035
W 0.0876 -9.9469 -0.5657
```

---

[16]
The following is a DFT calculation (meta-GGA SCAN) of a PBEsol-optimized structure of YBe2Cd.

Properties
space group	I4_1/amd (141)
VASP energy	-16.56	eV per atom

extended XYZ file:
```
8
Lattice="4.3304 0.0000 0.0000 0.0000 4.3304 0.0000 -2.1652 -2.1652 8.1611" Properties=species:S:1:pos:R:3 pbc="T T T"
Y 2.1652 2.1652 0.0000
Y 2.1652 0.0000 4.0805
Be 1.0826 2.1652 6.1208
Be -1.0826 2.1652 6.1208
Be 0.0000 3.2478 2.0403
Be 0.0000 1.0826 2.0403
Cd 0.0000 0.0000 0.0000
Cd 0.0000 2.1652 4.0805
```

---

[17]
The following is a DFT calculation (meta-GGA SCAN) of a PBEsol-optimized structure of YBeCd.

Properties
space group	Imm2 (44)
VASP energy	-20.67	eV per atom

extended XYZ file:
```
3
Lattice="-0.8445 1.8729 -2.4099 -3.9082 -2.1218 -0.2794 0.6781 2.8910 4.0899" Properties=species:S:1:pos:R:3 pbc="T T T"
Y -1.1414 1.8594 1.8451
Be -4.0448 2.5935 1.3523
Cd -2.9631 0.8314 -0.3962
```

---

[18]
The following is a DFT calculation (meta-GGA SCAN) of a PBEsol-optimized structure of YBeCd.

Properties
space group	P-6m2 (187)
VASP energy	-21.06	eV per atom

extended XYZ file:
```
3
Lattice="3.5362 0.0000 0.0000 0.0000 4.4061 0.0000 0.0000 -2.2030 3.8158" Properties=species:S:1:pos:R:3 pbc="T T T"
Y 1.7681 2.2030 1.2719
Be 0.0000 0.0000 0.0000
Cd 0.0000 0.0000 2.5439
```

---

[19]
The following is a DFT calculation (meta-GGA SCAN) of a PBEsol-optimized structure of YBeCd.

Properties
space group	F-43m (216)
VASP energy	-20.88	eV per atom

extended XYZ file:
```
3
Lattice="4.4513 0.0000 0.0000 2.2256 3.8549 0.0000 2.2256 1.2850 3.6345" Properties=species:S:1:pos:R:3 pbc="T T T"
Y 4.4513 2.5700 1.8172
Be 2.2256 1.2850 0.9086
Cd 0.0000 0.0000 0.0000
```

---

[20]
The following is a DFT calculation (meta-GGA SCAN) of a PBEsol-optimized structure of Be2ZnCd.

Properties
space group	Cmmm (65)
VASP energy	-12.77	eV per atom

extended XYZ file:
```
4
Lattice="2.6769 0.0000 0.0000 -1.3384 2.4743 0.0000 0.0000 0.0000 8.2155" Properties=species:S:1:pos:R:3 pbc="T T T"
Be 0.0000 0.0000 6.3028
Be 0.0000 0.0000 1.9127
Zn 1.3384 0.0000 0.0000
Cd 1.3384 0.0000 4.1078
```